VASP calculation (PBE) on a geometry-optimized SrCo3Ni structure.

Summary:
The electronic total energy is -25.39 eV for the cell shown. Its symmetry is No. 221. The value obtained for the spin magnetization is 5.937 μB/cell.

Cell and atoms, written as POSCAR:
```
SrCo3Ni
1.0
4.492 0.000 0.000
0.000 4.492 0.000
0.000 0.000 4.492
Sr Co Ni
1 3 1
Direct
0.000 0.000 0.000 Sr
0.000 0.500 0.500 Co
0.500 0.000 0.500 Co
0.500 0.500 0.000 Co
0.500 0.500 0.500 Ni
```